[1]
An optimized crystal structure of La2HgMo, computed with PBE.

Geometry as POSCAR:
```
La2HgMo
1.0
-3.695 3.394 1.260
-1.175 0.819 4.971
1.264 4.482 2.252
Hg La Mo
1 2 1
direct
0.500 0.500 0.500
0.000 0.000 0.000
0.250 0.250 0.250
0.750 0.750 0.750
```

Space-group type: No. 216
DOS(E_F) in states/eV/f.u.: 6.42
Total energy in eV per atom: -4.933
Formation enthalpy at 0 K in eV per atom: 0.3136

***

[2]
An optimized crystal structure of La2HgMo, computed with PBE.

Geometry as POSCAR:
```
La2HgMo
1.0
-5.652 0.516 -2.784
-3.902 -4.974 0.015
3.286 4.103 3.513
Hg La Mo
1 2 1
direct
0.290 0.790 0.500
0.011 0.011 0.000
0.711 0.211 0.500
0.488 0.488 0.000
```

Space-group type: No. 44
DOS(E_F) in states/eV/f.u.: 4.88
Total energy in eV per atom: -5.057
Formation enthalpy at 0 K in eV per atom: 0.1898

***

[3]
An optimized crystal structure of La4HgMo, computed with PBE.

Geometry as POSCAR:
```
La4HgMo
1.0
-5.711 -2.389 1.434
-4.685 3.868 1.863
-4.949 1.075 -3.839
La Hg Mo
4 1 1
direct
0.872 0.376 0.376
0.376 0.376 0.872
0.376 0.872 0.376
0.376 0.376 0.376
0.000 0.000 0.000
0.750 0.750 0.750
```

Space-group type: No. 216
DOS(E_F) in states/eV/f.u.: 11.47
Total energy in eV per atom: -4.401
Formation enthalpy at 0 K in eV per atom: 0.7393

***

[4]
An optimized crystal structure of La2HgMo, computed with PBE.

Geometry as POSCAR:
```
La2HgMo
1.0
3.640 0.036 0.000
-0.039 3.640 0.000
0.000 0.000 8.148
Hg La Mo
1 2 1
direct
0.500 0.500 0.750
0.000 0.000 0.031
0.000 0.000 0.469
0.500 0.500 0.250
```

Space-group type: No. 123
DOS(E_F) in states/eV/f.u.: 2.97
Total energy in eV per atom: -5.178
Formation enthalpy at 0 K in eV per atom: 0.0686

***

[5]
An optimized crystal structure of La2HgMo, computed with PBE.

Geometry as POSCAR:
```
La2HgMo
1.0
-0.987 -0.024 -3.704
-0.135 -3.831 0.061
-7.236 0.286 1.927
Hg La Mo
1 2 1
direct
0.500 0.500 0.710
0.000 0.000 0.928
0.500 0.500 0.302
0.000 0.000 0.560
```

Space-group type: No. 99
DOS(E_F) in states/eV/f.u.: 3.58
Total energy in eV per atom: -4.965
Formation enthalpy at 0 K in eV per atom: 0.2821

***

[6]
An optimized crystal structure of La2HgMo, computed with PBE.

Geometry as POSCAR:
```
La2HgMo
1.0
10.090 -0.016 -0.009
9.475 3.467 -0.009
9.475 1.672 3.037
Hg La Mo
1 2 1
direct
0.762 0.762 0.762
0.006 0.006 0.006
0.233 0.233 0.233
0.498 0.498 0.498
```

Space-group type: No. 160
DOS(E_F) in states/eV/f.u.: 5.00
Total energy in eV per atom: -4.812
Formation enthalpy at 0 K in eV per atom: 0.4347

***

[7]
An optimized crystal structure of La2HgMo, computed with PBE.

Geometry as POSCAR:
```
La2HgMo
1.0
3.695 -0.034 0.022
1.947 3.140 0.022
1.497 0.824 9.589
Hg La Mo
1 2 1
direct
0.250 0.250 0.250
0.003 0.003 0.970
0.497 0.497 0.530
0.750 0.750 0.750
```

Space-group type: No. 12
DOS(E_F) in states/eV/f.u.: 3.97
Total energy in eV per atom: -5.005
Formation enthalpy at 0 K in eV per atom: 0.2424

***

[8]
An optimized crystal structure of La2HgMoN, computed with PBE.

Geometry as POSCAR:
```
La2HgMoN
1.0
-2.551 -4.453 -1.416
2.171 -2.558 4.134
-3.127 1.061 2.299
Mo N Hg La
1 1 1 2
direct
0.000 0.000 0.500
0.000 0.000 0.000
0.500 0.500 0.500
0.000 0.500 0.000
0.500 0.000 0.000
```

E_form (uncorrected) in meV/atom: -582
Space-group type: No. 123
DOS(E_F) in states/eV/f.u.: 3.83
Total energy in eV per atom: -6.445

***

- Look up the total energy of the fourth one.
  -5.178 eV per atom

***

- Which of these has the lowest total energy?
  La2HgMoN